Entry 1:
A plane-wave DFT calculation with GGA-PBEsol was carried out for a relaxed LaYRu crystal.

Summary:
total magnetic moment: 0.0 μB/cell
Fermi-level density of states: 0.6266 states/eV per atom
energy of formation from the pure elements: -181 meV per atom
energy above the most stable polymorph in this dataset: 0.000 eV per atom
final energy: -7.63 eV per atom

a = 3.402 Å, b = 3.402 Å, c = 13.372 Å
α = 90.00°, β = 90.00°, γ = 90.00°
Space group I4mm (No. 107)
Inequivalent atoms, fractional coordinates:
La: 0.000 0.000 0.000
Y: 0.000 0.000 0.251
Ru: 0.000 0.000 0.632

***

Entry 2:
A plane-wave DFT calculation with GGA-PBEsol was carried out for a relaxed LaYRu crystal.

Summary:
total magnetic moment: 0.0 μB/cell
Fermi-level density of states: 0.6224 states/eV per atom
energy of formation from the pure elements: -144 meV per atom
energy above the most stable polymorph in this dataset: 0.037 eV per atom
final energy: -7.59 eV per atom

a = 6.797 Å, b = 6.797 Å, c = 6.797 Å
α = 90.00°, β = 90.00°, γ = 90.00°
Space group F-43m (No. 216)
Inequivalent atoms, fractional coordinates:
La: 0.000 0.000 0.000
Y: 0.000 0.000 0.500
Ru: 0.250 0.250 0.250

***

Entry 3:
A plane-wave DFT calculation with GGA-PBEsol was carried out for a relaxed LaZn4Ru crystal.

Summary:
total magnetic moment: 0.0 μB/cell
Fermi-level density of states: 0.6776 states/eV per atom
energy of formation from the pure elements: -169 meV per atom
final energy: -3.81 eV per atom

a = 7.302 Å, b = 7.302 Å, c = 7.302 Å
α = 90.00°, β = 90.00°, γ = 90.00°
Space group F-43m (No. 216)
Inequivalent atoms, fractional coordinates:
La: 0.000 0.000 0.000
Zn: 0.123 0.123 0.377
Ru: 0.250 0.250 0.750

***

Entry 4:
A plane-wave DFT calculation with GGA-PBEsol was carried out for a relaxed La2ZnRu2 crystal.

Summary:
total magnetic moment: 0.0 μB/cell
Fermi-level density of states: 0.6441 states/eV per atom
energy of formation from the pure elements: -113 meV per atom
final energy: -6.64 eV per atom

a = 6.960 Å, b = 6.960 Å, c = 4.247 Å
α = 90.00°, β = 90.00°, γ = 90.00°
Space group P4/mbm (No. 127)
Inequivalent atoms, fractional coordinates:
La: 0.177 0.323 0.000
Zn: 0.000 0.000 0.500
Ru: 0.143 0.643 0.500